1.
# Cs2RbAsI6 | Alexandria | PBE | optimized geometry
# **VASP energy**: -2.65 eV per atom
# **Excess energy over the best structure of this formula in the dataset**: 0 meV/atom
# **Volume**: 50.8 Å³ per atom
# **Energy relative to the elements, uncorrected**: -0.98 eV/atom
data_Cs2RbAsI6
_chemical_formula_sum 'Cs4 Rb2 As2 I12'
_cell_length_a 8.769
_cell_length_b 9.184
_cell_length_c 15.351
_cell_angle_alpha 90.00
_cell_angle_beta 124.71
_cell_angle_gamma 90.00
_space_group_name_H-M_alt 'P 1 21/c 1'
_space_group_IT_number 14
_space_group_name_Hall '-P 2ybc'
loop_
_atom_site_label
_atom_site_fract_x
_atom_site_fract_y
_atom_site_fract_z
Cs1 0.224 0.072 0.248
Rb1 0.500 0.000 0.000
As1 0.000 0.000 0.500
I1 0.122 0.233 0.955
I2 0.228 0.672 0.957
I3 0.309 0.018 0.721

=====

2.
# Cs2AsRhI6 | Alexandria | PBE | optimized geometry
# **VASP energy**: -2.93 eV per atom
# **Volume**: 38.2 Å³ per atom
# **Energy relative to the elements, uncorrected**: -0.63 eV/atom
data_Cs2AsRhI6
_chemical_formula_sum 'Cs4 As2 Rh2 I12'
_cell_length_a 8.131
_cell_length_b 8.131
_cell_length_c 11.542
_cell_angle_alpha 90.00
_cell_angle_beta 90.00
_cell_angle_gamma 90.00
_space_group_name_H-M_alt 'I 4/m m m'
_space_group_IT_number 139
_space_group_name_Hall '-I 4 2'
loop_
_atom_site_label
_atom_site_fract_x
_atom_site_fract_y
_atom_site_fract_z
Cs1 0.000 0.500 0.250
As1 0.000 0.000 0.000
Rh1 0.000 0.000 0.500
I1 0.000 0.000 0.258
I2 0.242 0.242 0.500

=====

3.
# Cs2AsSeI6 | Alexandria | PBE | optimized geometry
# **VASP energy**: -2.55 eV per atom
# **Volume**: 42.1 Å³ per atom
# **Energy relative to the elements, uncorrected**: -0.63 eV/atom
data_Cs2AsSeI6
_chemical_formula_sum 'Cs4 As2 Se2 I12'
_cell_length_a 8.460
_cell_length_b 8.460
_cell_length_c 11.760
_cell_angle_alpha 90.00
_cell_angle_beta 90.00
_cell_angle_gamma 90.00
_space_group_name_H-M_alt 'I 4/m m m'
_space_group_IT_number 139
_space_group_name_Hall '-I 4 2'
loop_
_atom_site_label
_atom_site_fract_x
_atom_site_fract_y
_atom_site_fract_z
Cs1 0.000 0.500 0.250
As1 0.000 0.000 0.000
Se1 0.000 0.000 0.500
I1 0.000 0.000 0.247
I2 0.243 0.243 0.000

=====

4.
# CsAsSeI2 | Alexandria | PBE | optimized geometry
# **VASP energy**: -2.94 eV per atom
# **Volume**: 37.6 Å³ per atom
# **Energy relative to the elements, uncorrected**: -0.52 eV/atom
data_CsAsSeI2
_chemical_formula_sum 'Cs1 As1 Se1 I2'
_cell_length_a 6.040
_cell_length_b 6.040
_cell_length_c 5.149
_cell_angle_alpha 90.00
_cell_angle_beta 90.00
_cell_angle_gamma 90.00
_space_group_name_H-M_alt 'P 4/m m m'
_space_group_IT_number 123
_space_group_name_Hall '-P 4 2'
loop_
_atom_site_label
_atom_site_fract_x
_atom_site_fract_y
_atom_site_fract_z
Cs1 0.000 0.000 0.000
As1 0.500 0.500 0.500
Se1 0.500 0.500 0.000
I1 0.000 0.500 0.500

=====

5.
# CsSnAs2I | Alexandria | PBE | optimized geometry
# **VASP energy**: -1.98 eV per atom
# **Volume**: 46.3 Å³ per atom
# **Energy relative to the elements, uncorrected**: 1.16 eV/atom
data_CsSnAs2I
_chemical_formula_sum 'Cs1 Sn1 As2 I1'
_cell_length_a 5.865
_cell_length_b 5.865
_cell_length_c 6.730
_cell_angle_alpha 90.00
_cell_angle_beta 90.00
_cell_angle_gamma 90.00
_space_group_name_H-M_alt 'P 4/m m m'
_space_group_IT_number 123
_space_group_name_Hall '-P 4 2'
loop_
_atom_site_label
_atom_site_fract_x
_atom_site_fract_y
_atom_site_fract_z
Cs1 0.000 0.000 0.000
Sn1 0.500 0.500 0.500
As1 0.000 0.500 0.000
I1 0.000 0.000 0.500

=====

6.
# Cs2SrAsI6 | Alexandria | PBE | optimized geometry
# **VASP energy**: -2.76 eV per atom
# **Volume**: 49.1 Å³ per atom
# **Energy relative to the elements, uncorrected**: -1.03 eV/atom
data_Cs2SrAsI6
_chemical_formula_sum 'Cs4 Sr2 As2 I12'
_cell_length_a 8.958
_cell_length_b 8.958
_cell_length_c 12.231
_cell_angle_alpha 90.00
_cell_angle_beta 90.00
_cell_angle_gamma 90.00
_space_group_name_H-M_alt 'I 4/m m m'
_space_group_IT_number 139
_space_group_name_Hall '-I 4 2'
loop_
_atom_site_label
_atom_site_fract_x
_atom_site_fract_y
_atom_site_fract_z
Cs1 0.000 0.500 0.250
Sr1 0.000 0.000 0.000
As1 0.000 0.000 0.500
I1 0.000 0.000 0.267
I2 0.245 0.245 0.500

=====

7.
# Cs2TaAsI6 | Alexandria | PBE | optimized geometry
# **VASP energy**: -3.27 eV per atom
# **Volume**: 44.9 Å³ per atom
# **Energy relative to the elements, uncorrected**: -0.52 eV/atom
data_Cs2TaAsI6
_chemical_formula_sum 'Cs4 Ta2 As2 I12'
_cell_length_a 8.914
_cell_length_b 8.914
_cell_length_c 11.290
_cell_angle_alpha 90.00
_cell_angle_beta 90.00
_cell_angle_gamma 90.00
_space_group_name_H-M_alt 'I 4/m m m'
_space_group_IT_number 139
_space_group_name_Hall '-I 4 2'
loop_
_atom_site_label
_atom_site_fract_x
_atom_site_fract_y
_atom_site_fract_z
Cs1 0.000 0.500 0.250
Ta1 0.000 0.000 0.000
As1 0.000 0.000 0.500
I1 0.000 0.000 0.250
I2 0.226 0.226 0.000

=====

8.
# CsTlAs2I | Alexandria | PBE | optimized geometry
# **VASP energy**: -1.85 eV per atom
# **Volume**: 84.6 Å³ per atom
# **Energy relative to the elements, uncorrected**: 0.96 eV/atom
data_CsTlAs2I
_chemical_formula_sum 'Cs1 Tl1 As2 I1'
_cell_length_a 5.954
_cell_length_b 5.954
_cell_length_c 11.930
_cell_angle_alpha 90.00
_cell_angle_beta 90.00
_cell_angle_gamma 90.00
_space_group_name_H-M_alt 'P 4/m m m'
_space_group_IT_number 123
_space_group_name_Hall '-P 4 2'
loop_
_atom_site_label
_atom_site_fract_x
_atom_site_fract_y
_atom_site_fract_z
Cs1 0.000 0.000 0.000
Tl1 0.000 0.000 0.500
As1 0.000 0.500 0.000
I1 0.500 0.500 0.500

=====

9.
# Cs3TlAs2I9 | Alexandria | PBE | optimized geometry
# **VASP energy**: -2.62 eV per atom
# **Volume**: 45.4 Å³ per atom
# **Energy relative to the elements, uncorrected**: -0.74 eV/atom
data_Cs3TlAs2I9
_chemical_formula_sum 'Cs3 Tl1 As2 I9'
_cell_length_a 8.5781
_cell_length_b 8.5781
_cell_length_c 10.6927
_cell_angle_alpha 90.00
_cell_angle_beta 90.00
_cell_angle_gamma 120.00
_space_group_name_H-M_alt 'P -3 m 1'
_space_group_IT_number 164
_space_group_name_Hall '-P 3 2"'
loop_
_atom_site_label
_atom_site_fract_x
_atom_site_fract_y
_atom_site_fract_z
Cs1 0.0000 0.0000 0.0000
Cs2 0.3333 0.6667 0.6826
Tl1 0.0000 0.0000 0.5000
As1 0.3333 0.6667 0.1622
I1 0.0000 0.5000 0.0000
I2 0.1751 0.3503 0.3149

=====

10.
# Cs2TlAsI | Alexandria | PBE | optimized geometry
# **VASP energy**: -2.68 eV per atom
# **Volume**: 56.3 Å³ per atom
# **Energy relative to the elements, uncorrected**: -0.63 eV/atom
data_Cs2TlAsI
_chemical_formula_sum 'Cs2 Tl1 As1 I1'
_cell_length_a 7.262
_cell_length_b 7.262
_cell_length_c 5.337
_cell_angle_alpha 90.00
_cell_angle_beta 90.00
_cell_angle_gamma 90.00
_space_group_name_H-M_alt 'P 4/m m m'
_space_group_IT_number 123
_space_group_name_Hall '-P 4 2'
loop_
_atom_site_label
_atom_site_fract_x
_atom_site_fract_y
_atom_site_fract_z
Cs1 0.000 0.500 0.000
Tl1 0.000 0.000 0.500
As1 0.000 0.000 0.000
I1 0.500 0.500 0.500

=====

11.
# Cs2VAsI6 | Alexandria | PBE | optimized geometry
# **VASP energy**: -3.14 eV per atom
# **Volume**: 42.3 Å³ per atom
# **Energy relative to the elements, uncorrected**: -0.66 eV/atom
data_Cs2VAsI6
_chemical_formula_sum 'Cs4 V2 As2 I12'
_cell_length_a 8.204
_cell_length_b 8.204
_cell_length_c 12.566
_cell_angle_alpha 90.00
_cell_angle_beta 90.00
_cell_angle_gamma 90.00
_space_group_name_H-M_alt 'I 4/m m m'
_space_group_IT_number 139
_space_group_name_Hall '-I 4 2'
loop_
_atom_site_label
_atom_site_fract_x
_atom_site_fract_y
_atom_site_fract_z
Cs1 0.000 0.500 0.250
V1 0.000 0.000 0.000
As1 0.000 0.000 0.500
I1 0.000 0.000 0.222
I2 0.249 0.249 0.500

=====

12.
# Cs2AsWI6 | Alexandria | PBE | optimized geometry
# **VASP energy**: -3.26 eV per atom
# **Volume**: 42.5 Å³ per atom
# **Energy relative to the elements, uncorrected**: -0.40 eV/atom
data_Cs2AsWI6
_chemical_formula_sum 'Cs4 As2 W2 I12'
_cell_length_a 8.540
_cell_length_b 8.540
_cell_length_c 11.651
_cell_angle_alpha 90.00
_cell_angle_beta 90.00
_cell_angle_gamma 90.00
_space_group_name_H-M_alt 'I 4/m m m'
_space_group_IT_number 139
_space_group_name_Hall '-I 4 2'
loop_
_atom_site_label
_atom_site_fract_x
_atom_site_fract_y
_atom_site_fract_z
Cs1 0.000 0.500 0.250
As1 0.000 0.000 0.000
W1 0.000 0.000 0.500
I1 0.000 0.000 0.254
I2 0.235 0.235 0.500